Entry 1:
## BaPm2Th (PBE-GGA)

Data for BaPm2Th after structural relaxation.

Calculated values
energy of formation	0.1001	eV per atom
E above lowest polymorph	0.000	eV per atom

CIF file:
```
data_BaPm2Th
_cell_length_a 3.7154
_cell_length_b 3.7154
_cell_length_c 11.1510
_cell_angle_alpha 90.00
_cell_angle_beta 90.00
_cell_angle_gamma 90.00
_space_group_name_H-M_alt 'P 1'
_space_group_IT_number 1
loop_
_space_group_symop_operation_xyz
'x,y,z'
loop_
_atom_site_label
_atom_site_fract_x
_atom_site_fract_y
_atom_site_fract_z
Pm1 0.0000 0.0000 0.7885
Ba1 0.5000 0.5000 0.5000
Th1 0.5000 0.5000 0.0000
Pm2 0.0000 0.0000 0.2115
```


Entry 2:
## CaSnB (PBE-GGA)

Data for CaSnB after structural relaxation.

Calculated values
energy of formation	-0.1045	eV per atom
E above lowest polymorph	0.062	eV per atom

CIF file:
```
data_CaSnB
_cell_length_a 5.3591
_cell_length_b 5.1625
_cell_length_c 10.9422
_cell_angle_alpha 90.00
_cell_angle_beta 109.80
_cell_angle_gamma 90.00
_space_group_name_H-M_alt 'P 1'
_space_group_IT_number 1
loop_
_space_group_symop_operation_xyz
'x,y,z'
loop_
_atom_site_label
_atom_site_fract_x
_atom_site_fract_y
_atom_site_fract_z
B1 0.9408 0.5000 0.4271
Ca1 0.5000 0.0000 0.0000
B2 0.0592 0.0000 0.0729
B3 0.9408 0.0000 0.9271
Ca2 0.0000 0.5000 0.0000
B4 0.0592 0.5000 0.5729
Sn1 0.3385 0.0000 0.2757
Sn2 0.6615 0.5000 0.2243
Ca3 0.5000 0.5000 0.5000
Sn3 0.6615 0.0000 0.7243
Ca4 0.0000 0.0000 0.5000
Sn4 0.3385 0.5000 0.7757
```